{"formula": "UTlBi2", "functional": "GGA-PBE", "state": "relaxed", "lattice_angstrom": [[-0.739, -1.469, 4.222], [3.101, -2.565, 2.082], [4.332, 5.330, 5.044]], "species": ["Tl", "U", "Bi", "Bi"], "frac_coords": [[0.500, 0.500, 0.500], [0.000, 0.000, 0.000], [0.262, 0.262, 0.214], [0.738, 0.738, 0.786]], "rho_g_cm3": 9.91, "formation_enthalpy_0k_kj_per_mol_atoms": 21.6, "de_polymorph_ev_per_atom": 0.186}